Record 1
{"formula": "Li2AgBi2", "functional": "PBE-GGA", "state": "relaxed", "lattice_angstrom": [[-7.310, -2.917, 2.700], [3.678, -2.822, 6.909], [-0.608, 2.932, 1.522]], "species": ["Bi", "Bi", "Bi", "Bi", "Li", "Li", "Li", "Li", "Ag", "Ag"], "frac_coords": [[0.821, 0.679, 0.000], [0.179, 0.321, 0.000], [0.679, 0.179, 0.000], [0.321, 0.821, 0.000], [0.120, 0.620, 0.500], [0.380, 0.120, 0.500], [0.620, 0.880, 0.500], [0.880, 0.380, 0.500], [0.500, 0.500, 0.000], [0.000, 0.000, 0.000]], "delta_e_f_kj_per_mol_atoms": -19, "total_energy_ev_per_atom": -3.082, "polymorph_energy_ev_per_fu": 0.23}


Record 2
{"formula": "Li2AgBi2", "functional": "PBE-GGA", "state": "relaxed", "lattice_angstrom": [[3.175, 0.000, 1.387], [1.237, 6.690, 1.495], [-0.381, 0.321, 5.198]], "species": ["Bi", "Bi", "Li", "Li", "Ag"], "frac_coords": [[0.330, 0.248, 0.592], [0.670, 0.752, 0.408], [0.903, 0.870, 0.824], [0.097, 0.130, 0.176], [0.500, 0.500, 0.000]], "delta_e_f_kj_per_mol_atoms": -20, "total_energy_ev_per_atom": -3.093, "polymorph_energy_ev_per_fu": 0.18}


Record 3
{"formula": "Li3AgBi", "functional": "PBE-GGA", "state": "relaxed", "lattice_angstrom": [[-4.327, -1.238, 1.697], [0.538, -4.410, -1.843], [2.031, -1.468, 4.106]], "species": ["Li", "Li", "Li", "Bi", "Ag"], "frac_coords": [[0.000, 0.500, 0.000], [0.500, 0.000, 0.000], [0.000, 0.000, 0.500], [0.500, 0.500, 0.500], [0.000, 0.000, 0.000]], "delta_e_f_kj_per_mol_atoms": -6, "total_energy_ev_per_atom": -2.556, "polymorph_energy_ev_per_fu": 0.95}


Record 4
{"formula": "LiAgBi2", "functional": "PBE-GGA", "state": "relaxed", "lattice_angstrom": [[-0.276, -1.788, 3.273], [3.329, 1.361, 1.025], [-3.130, 5.565, 2.776]], "species": ["Bi", "Bi", "Li", "Ag"], "frac_coords": [[0.000, 0.000, 0.745], [0.000, 0.000, 0.255], [0.500, 0.500, 0.500], [0.500, 0.500, 0.000]], "delta_e_f_kj_per_mol_atoms": -9, "total_energy_ev_per_atom": -3.221, "polymorph_energy_ev_per_fu": 0.19}


Record 5
{"formula": "Li12Ag3Bi5", "functional": "PBE-GGA", "state": "relaxed", "lattice_angstrom": [[13.776, 0.000, 0.000], [-4.592, 12.988, 0.000], [-4.592, -6.494, 11.248]], "species": ["Li", "Li", "Li", "Li", "Li", "Li", "Li", "Li", "Li", "Li", "Li", "Li", "Li", "Li", "Li", "Li", "Li", "Li", "Li", "Li", "Li", "Li", "Li", "Li", "Li", "Li", "Li", "Li", "Li", "Li", "Li", "Li", "Li", "Li", "Li", "Li", "Li", "Li", "Li", "Li", "Li", "Li", "Li", "Li", "Li", "Li", "Li", "Li", "Bi", "Bi", "Bi", "Bi", "Bi", "Bi", "Bi", "Bi", "Bi", "Bi", "Bi", "Bi", "Bi", "Bi", "Bi", "Bi", "Bi", "Bi", "Bi", "Bi", "Ag", "Ag", "Ag", "Ag", "Ag", "Ag", "Ag", "Ag", "Ag", "Ag", "Ag", "Ag"], "frac_coords": [[0.734, 0.141, 0.073], [0.068, 0.907, 0.141], [0.073, 0.432, 0.839], [0.907, 0.839, 0.766], [0.266, 0.407, 0.839], [0.234, 0.661, 0.093], [0.907, 0.068, 0.641], [0.432, 0.359, 0.593], [0.093, 0.161, 0.234], [0.932, 0.093, 0.859], [0.839, 0.907, 0.266], [0.359, 0.927, 0.766], [0.093, 0.932, 0.359], [0.427, 0.766, 0.859], [0.734, 0.593, 0.161], [0.859, 0.593, 0.932], [0.407, 0.266, 0.339], [0.407, 0.141, 0.568], [0.339, 0.573, 0.432], [0.339, 0.766, 0.407], [0.432, 0.073, 0.339], [0.927, 0.568, 0.161], [0.593, 0.859, 0.432], [0.068, 0.161, 0.427], [0.661, 0.234, 0.593], [0.234, 0.573, 0.641], [0.573, 0.234, 0.141], [0.766, 0.427, 0.359], [0.859, 0.266, 0.427], [0.161, 0.093, 0.734], [0.359, 0.432, 0.093], [0.568, 0.641, 0.407], [0.141, 0.734, 0.573], [0.141, 0.407, 0.068], [0.766, 0.339, 0.907], [0.932, 0.839, 0.573], [0.927, 0.359, 0.266], [0.161, 0.068, 0.927], [0.266, 0.859, 0.927], [0.073, 0.641, 0.734], [0.661, 0.427, 0.568], [0.641, 0.568, 0.907], [0.839, 0.932, 0.073], [0.427, 0.661, 0.068], [0.573, 0.339, 0.932], [0.593, 0.734, 0.661], [0.568, 0.927, 0.661], [0.641, 0.073, 0.234], [0.000, 0.500, 0.500], [0.000, 0.000, 0.500], [0.500, 0.000, 0.500], [0.500, 0.000, 0.000], [0.750, 0.125, 0.875], [0.375, 0.125, 0.750], [0.125, 0.375, 0.250], [0.500, 0.500, 0.000], [0.625, 0.750, 0.875], [0.500, 0.500, 0.500], [0.000, 0.500, 0.000], [0.000, 0.000, 0.000], [0.875, 0.250, 0.625], [0.125, 0.750, 0.375], [0.875, 0.625, 0.750], [0.250, 0.375, 0.625], [0.750, 0.625, 0.375], [0.250, 0.875, 0.125], [0.625, 0.875, 0.250], [0.375, 0.250, 0.125], [0.125, 0.875, 0.750], [0.625, 0.375, 0.750], [0.125, 0.250, 0.875], [0.875, 0.125, 0.250], [0.625, 0.250, 0.375], [0.750, 0.375, 0.125], [0.250, 0.625, 0.875], [0.250, 0.125, 0.375], [0.750, 0.875, 0.625], [0.375, 0.625, 0.250], [0.375, 0.750, 0.625], [0.875, 0.750, 0.125]], "delta_e_f_kj_per_mol_atoms": 7, "total_energy_ev_per_atom": -2.477}


Record 6
{"formula": "Li3AgBi", "functional": "PBE-GGA", "state": "relaxed", "lattice_angstrom": [[-6.110, 3.082, -2.767], [4.930, -4.591, -3.017], [-2.673, -3.896, 1.561]], "species": ["Li", "Li", "Li", "Li", "Li", "Li", "Ag", "Ag", "Bi", "Bi"], "frac_coords": [[0.321, 0.679, 0.250], [0.388, 0.098, 0.222], [0.612, 0.902, 0.722], [0.679, 0.321, 0.750], [0.902, 0.612, 0.278], [0.098, 0.388, 0.778], [0.602, 0.602, 0.000], [0.398, 0.398, 0.500], [0.162, 0.838, 0.750], [0.838, 0.162, 0.250]], "delta_e_f_kj_per_mol_atoms": -24, "total_energy_ev_per_atom": -2.746, "polymorph_energy_ev_per_fu": 0.00}